Below is a relaxed structure of YAl2, with properties calculated at the GGA-PBE level.

E: -0.360 Ry per atom
Calculated volume: 64 Å³/cell
Fermi-level density of states: 2.22 states/eV per cell
Density: 3.73 g cm⁻³
Energy of formation: -0.2528 eV per atom

a = 6.067 Å, b = 6.067 Å, c = 6.067 Å
α = 148.16°, β = 147.16°, γ = 46.39°
Sites, in units of the cell vectors:
Al 0.312 0.312 0.000
Al 0.688 0.688 0.000
Y 0.000 0.000 0.000